A:
# MnSi2W | the Alexandria database | PBE-GGA | relaxed
# V = 107.5 Å³/cell
data_MnSi2W
_chemical_formula_sum 'Mn2 Si4 W2'
_space_group_name_H-M_alt 'A m m 2'
_space_group_IT_number 38
_cell_length_a 3.971
_cell_length_b 3.101
_cell_length_c 8.731
_cell_angle_alpha 90.00
_cell_angle_beta 90.00
_cell_angle_gamma 90.00
loop_
_space_group_symop_operation_xyz
'x,y,z'
'-x,-y,z'
'-x,y,z'
'x,-y,z'
'x,y+1/2,z+1/2'
'-x,-y+1/2,z+1/2'
'-x,y+1/2,z+1/2'
'x,-y+1/2,z+1/2'
loop_
_atom_site_label
_atom_site_type_symbol
_atom_site_fract_x
_atom_site_fract_y
_atom_site_fract_z
Mn1 Mn 0.000 0.000 0.000
Si1 Si 0.000 0.000 0.720
Si2 Si 0.500 0.000 0.545
W1 W 0.500 0.000 0.271

***

B:
# MnSi2W | the Alexandria database | PBE-GGA | relaxed
# V = 50.3 Å³/cell
data_MnSi2W
_chemical_formula_sum 'Mn1 Si2 W1'
_space_group_name_H-M_alt 'P 4/m m m'
_space_group_IT_number 123
_space_group_name_Hall '-P 4 2'
_cell_length_a 2.857
_cell_length_b 2.857
_cell_length_c 6.163
_cell_angle_alpha 90.00
_cell_angle_beta 90.00
_cell_angle_gamma 90.00
loop_
_atom_site_label
_atom_site_type_symbol
_atom_site_fract_x
_atom_site_fract_y
_atom_site_fract_z
Mn1 Mn 0.000 0.000 0.000
Si1 Si 0.500 0.500 0.211
W1 W 0.000 0.000 0.500

***

C:
# MnSi2W | the Alexandria database | PBE-GGA | relaxed
# V = 106.8 Å³/cell
data_MnSi2W
_chemical_formula_sum 'Mn2 Si4 W2'
_space_group_name_H-M_alt 'C 1 2/m 1'
_space_group_IT_number 12
_cell_length_a 8.201
_cell_length_b 2.687
_cell_length_c 4.960
_cell_angle_alpha 90.00
_cell_angle_beta 102.15
_cell_angle_gamma 90.00
loop_
_space_group_symop_operation_xyz
'x,y,z'
'-x,-y,-z'
'-x,y,-z'
'x,-y,z'
'x+1/2,y+1/2,z'
'-x+1/2,-y+1/2,-z'
'-x+1/2,y+1/2,-z'
'x+1/2,-y+1/2,z'
loop_
_atom_site_label
_atom_site_type_symbol
_atom_site_fract_x
_atom_site_fract_y
_atom_site_fract_z
Mn1 Mn 0.000 0.000 0.000
Si1 Si 0.242 0.500 0.226
W1 W 0.000 0.500 0.500

***

Least stable: C

***

A:
# MnSi2W | the Alexandria database | PBE-GGA | relaxed
# V = 55.4 Å³/cell
data_MnSi2W
_chemical_formula_sum 'Mn1 Si2 W1'
_space_group_name_H-M_alt 'P 4 m m'
_space_group_IT_number 99
_cell_length_a 2.648
_cell_length_b 2.648
_cell_length_c 7.897
_cell_angle_alpha 90.00
_cell_angle_beta 90.00
_cell_angle_gamma 90.00
loop_
_space_group_symop_operation_xyz
'x,y,z'
'-y,x,z'
'-x,-y,z'
'y,-x,z'
'-x,y,z'
'y,x,z'
'x,-y,z'
'-y,-x,z'
loop_
_atom_site_label
_atom_site_type_symbol
_atom_site_fract_x
_atom_site_fract_y
_atom_site_fract_z
Mn1 Mn 0.000 0.000 0.000
Si1 Si 0.000 0.000 0.490
Si2 Si 0.500 0.500 0.208
W1 W 0.500 0.500 0.744

***

B:
# MnSi2W | the Alexandria database | PBE-GGA | relaxed
# V = 51.4 Å³/cell
data_MnSi2W
_chemical_formula_sum 'Mn1 Si2 W1'
_space_group_name_H-M_alt 'P 4 m m'
_space_group_IT_number 99
_cell_length_a 3.071
_cell_length_b 3.071
_cell_length_c 5.445
_cell_angle_alpha 90.00
_cell_angle_beta 90.00
_cell_angle_gamma 90.00
loop_
_space_group_symop_operation_xyz
'x,y,z'
'-y,x,z'
'-x,-y,z'
'y,-x,z'
'-x,y,z'
'y,x,z'
'x,-y,z'
'-y,-x,z'
loop_
_atom_site_label
_atom_site_type_symbol
_atom_site_fract_x
_atom_site_fract_y
_atom_site_fract_z
Mn1 Mn 0.000 0.000 0.000
Si1 Si 0.000 0.000 0.450
Si2 Si 0.500 0.500 0.198
W1 W 0.500 0.500 0.689

***

C:
# MnSi2W | the Alexandria database | PBE-GGA | relaxed
# V = 53.7 Å³/cell
data_MnSi2W
_chemical_formula_sum 'Mn1 Si2 W1'
_space_group_name_H-M_alt 'P 1 2/m 1'
_space_group_IT_number 10
_cell_length_a 2.746
_cell_length_b 3.879
_cell_length_c 5.043
_cell_angle_alpha 90.00
_cell_angle_beta 91.92
_cell_angle_gamma 90.00
loop_
_space_group_symop_operation_xyz
'x,y,z'
'-x,-y,-z'
'-x,y,-z'
'x,-y,z'
loop_
_atom_site_label
_atom_site_type_symbol
_atom_site_fract_x
_atom_site_fract_y
_atom_site_fract_z
Mn1 Mn 0.000 0.000 0.000
Si1 Si 0.034 0.500 0.749
W1 W 0.500 0.000 0.500

***

D:
# MnSi2W | the Alexandria database | PBE-GGA | relaxed
# V = 108.3 Å³/cell
data_MnSi2W
_chemical_formula_sum 'Mn2 Si4 W2'
_space_group_name_H-M_alt 'I m m m'
_space_group_IT_number 71
_space_group_name_Hall '-I 2 2'
_cell_length_a 3.308
_cell_length_b 4.408
_cell_length_c 7.426
_cell_angle_alpha 90.00
_cell_angle_beta 90.00
_cell_angle_gamma 90.00
loop_
_atom_site_label
_atom_site_type_symbol
_atom_site_fract_x
_atom_site_fract_y
_atom_site_fract_z
Mn1 Mn 0.000 0.000 0.000
Si1 Si 0.000 0.500 0.262
W1 W 0.000 0.000 0.500

***

Least stable: A

***

A:
# MnSi2W | the Alexandria database | PBE-GGA | relaxed
# V = 159.2 Å³/cell
data_MnSi2W
_chemical_formula_sum 'Mn3 Si6 W3'
_space_group_name_H-M_alt 'R -3 m'
_space_group_IT_number 166
_space_group_name_Hall '-R 3 2"'
_cell_length_a 2.7665
_cell_length_b 2.7665
_cell_length_c 24.0204
_cell_angle_alpha 90.00
_cell_angle_beta 90.00
_cell_angle_gamma 120.00
loop_
_atom_site_label
_atom_site_type_symbol
_atom_site_fract_x
_atom_site_fract_y
_atom_site_fract_z
Mn1 Mn 0.0000 0.0000 0.0000
Si1 Si 0.0000 0.0000 0.2587
W1 W 0.0000 0.0000 0.5000

***

B:
# MnSi2W | the Alexandria database | PBE-GGA | relaxed
# V = 111.0 Å³/cell
data_MnSi2W
_chemical_formula_sum 'Mn2 Si4 W2'
_space_group_name_H-M_alt 'C m m 2'
_space_group_IT_number 35
_cell_length_a 3.365
_cell_length_b 4.115
_cell_length_c 8.017
_cell_angle_alpha 90.00
_cell_angle_beta 90.00
_cell_angle_gamma 90.00
loop_
_space_group_symop_operation_xyz
'x,y,z'
'-x,-y,z'
'-x,y,z'
'x,-y,z'
'x+1/2,y+1/2,z'
'-x+1/2,-y+1/2,z'
'-x+1/2,y+1/2,z'
'x+1/2,-y+1/2,z'
loop_
_atom_site_label
_atom_site_type_symbol
_atom_site_fract_x
_atom_site_fract_y
_atom_site_fract_z
Mn1 Mn 0.000 0.000 0.000
Si1 Si 0.000 0.000 0.507
Si2 Si 0.000 0.500 0.789
W1 W 0.000 0.500 0.255

***

C:
# MnSi2W | the Alexandria database | PBE-GGA | relaxed
# V = 163.4 Å³/cell
data_MnSi2W
_chemical_formula_sum 'Mn3 Si6 W3'
_space_group_name_H-M_alt 'R 3 m'
_space_group_IT_number 160
_space_group_name_Hall 'R 3 -2"'
_cell_length_a 2.8346
_cell_length_b 2.8346
_cell_length_c 23.4778
_cell_angle_alpha 90.00
_cell_angle_beta 90.00
_cell_angle_gamma 120.00
loop_
_atom_site_label
_atom_site_type_symbol
_atom_site_fract_x
_atom_site_fract_y
_atom_site_fract_z
Mn1 Mn 0.0000 0.0000 0.0000
Si1 Si 0.0000 0.0000 0.2592
Si2 Si 0.0000 0.0000 0.5063
W1 W 0.0000 0.0000 0.7522

***

Least stable: B

***

A:
# MnSi2W | the Alexandria database | PBE-GGA | relaxed
# V = 106.5 Å³/cell
data_MnSi2W
_chemical_formula_sum 'Mn2 Si4 W2'
_space_group_name_H-M_alt 'C m m m'
_space_group_IT_number 65
_space_group_name_Hall '-C 2 2'
_cell_length_a 3.304
_cell_length_b 4.378
_cell_length_c 7.360
_cell_angle_alpha 90.00
_cell_angle_beta 90.00
_cell_angle_gamma 90.00
loop_
_atom_site_label
_atom_site_type_symbol
_atom_site_fract_x
_atom_site_fract_y
_atom_site_fract_z
Mn1 Mn 0.000 0.000 0.000
Si1 Si 0.000 0.500 0.230
W1 W 0.000 0.000 0.500

***

B:
# MnSi2W | the Alexandria database | PBE-GGA | relaxed
# V = 214.2 Å³/cell
data_MnSi2W
_chemical_formula_sum 'Mn4 Si8 W4'
_space_group_name_H-M_alt 'F -4 3 m'
_space_group_IT_number 216
_space_group_name_Hall 'F -4 2 3'
_cell_length_a 5.983
_cell_length_b 5.983
_cell_length_c 5.983
_cell_angle_alpha 90.00
_cell_angle_beta 90.00
_cell_angle_gamma 90.00
loop_
_atom_site_label
_atom_site_type_symbol
_atom_site_fract_x
_atom_site_fract_y
_atom_site_fract_z
Mn1 Mn 0.000 0.000 0.000
Si1 Si 0.000 0.000 0.500
Si2 Si 0.250 0.250 0.750
W1 W 0.250 0.250 0.250

***

C:
# MnSi2W | the Alexandria database | PBE-GGA | relaxed
# V = 106.4 Å³/cell
data_MnSi2W
_chemical_formula_sum 'Mn2 Si4 W2'
_space_group_name_H-M_alt 'I -4 m 2'
_space_group_IT_number 119
_space_group_name_Hall 'I -4 -2'
_cell_length_a 3.609
_cell_length_b 3.609
_cell_length_c 8.166
_cell_angle_alpha 90.00
_cell_angle_beta 90.00
_cell_angle_gamma 90.00
loop_
_atom_site_label
_atom_site_type_symbol
_atom_site_fract_x
_atom_site_fract_y
_atom_site_fract_z
Mn1 Mn 0.000 0.000 0.000
Si1 Si 0.000 0.000 0.500
Si2 Si 0.000 0.500 0.750
W1 W 0.000 0.500 0.250

***

Least stable: B

***

A:
# MnSi2W | the Alexandria database | PBE-GGA | relaxed
# V = 104.1 Å³/cell
data_MnSi2W
_chemical_formula_sum 'Mn2 Si4 W2'
_space_group_name_H-M_alt 'C 1 m 1'
_space_group_IT_number 8
_cell_length_a 8.638
_cell_length_b 2.899
_cell_length_c 4.355
_cell_angle_alpha 90.00
_cell_angle_beta 107.26
_cell_angle_gamma 90.00
loop_
_space_group_symop_operation_xyz
'x,y,z'
'x,-y,z'
'x+1/2,y+1/2,z'
'x+1/2,-y+1/2,z'
loop_
_atom_site_label
_atom_site_type_symbol
_atom_site_fract_x
_atom_site_fract_y
_atom_site_fract_z
Mn1 Mn 0.000 0.000 0.000
Si1 Si 0.236 0.500 0.150
Si2 Si 0.493 0.000 0.457
W1 W 0.249 0.000 0.655

***

B:
# MnSi2W | the Alexandria database | PBE-GGA | relaxed
# V = 206.2 Å³/cell
data_MnSi2W
_chemical_formula_sum 'Mn4 Si8 W4'
_space_group_name_H-M_alt 'F m -3 m'
_space_group_IT_number 225
_space_group_name_Hall '-F 4 2 3'
_cell_length_a 5.908
_cell_length_b 5.908
_cell_length_c 5.908
_cell_angle_alpha 90.00
_cell_angle_beta 90.00
_cell_angle_gamma 90.00
loop_
_atom_site_label
_atom_site_type_symbol
_atom_site_fract_x
_atom_site_fract_y
_atom_site_fract_z
Mn1 Mn 0.000 0.000 0.000
Si1 Si 0.250 0.250 0.250
W1 W 0.000 0.000 0.500

***

C:
# MnSi2W | the Alexandria database | PBE-GGA | relaxed
# V = 234.5 Å³/cell
data_MnSi2W
_chemical_formula_sum 'Mn4 Si8 W4'
_space_group_name_H-M_alt 'I -4 2 d'
_space_group_IT_number 122
_space_group_name_Hall 'I -4 2bw'
_cell_length_a 3.680
_cell_length_b 3.680
_cell_length_c 17.316
_cell_angle_alpha 90.00
_cell_angle_beta 90.00
_cell_angle_gamma 90.00
loop_
_atom_site_label
_atom_site_type_symbol
_atom_site_fract_x
_atom_site_fract_y
_atom_site_fract_z
Mn1 Mn 0.000 0.000 0.000
Si1 Si 0.228 0.250 0.125
W1 W 0.000 0.000 0.500

***

Least stable: C

***

A:
# MnSi3W | the Alexandria database | PBE-GGA | relaxed
# V = 104.5 Å³/cell
data_MnSi3W
_chemical_formula_sum 'Mn1 Si3 W1'
_space_group_name_H-M_alt 'P m -3 m'
_space_group_IT_number 221
_space_group_name_Hall '-P 4 2 3'
_cell_length_a 4.710
_cell_length_b 4.710
_cell_length_c 4.710
_cell_angle_alpha 90.00
_cell_angle_beta 90.00
_cell_angle_gamma 90.00
loop_
_atom_site_label
_atom_site_type_symbol
_atom_site_fract_x
_atom_site_fract_y
_atom_site_fract_z
Mn1 Mn 0.000 0.000 0.000
Si1 Si 0.000 0.500 0.500
W1 W 0.500 0.500 0.500

***

B:
# MnSi3W | the Alexandria database | PBE-GGA | relaxed
# V = 81.9 Å³/cell
data_MnSi3W
_chemical_formula_sum 'Mn1 Si3 W1'
_space_group_name_H-M_alt 'P m -3 m'
_space_group_IT_number 221
_space_group_name_Hall '-P 4 2 3'
_cell_length_a 4.342
_cell_length_b 4.342
_cell_length_c 4.342
_cell_angle_alpha 90.00
_cell_angle_beta 90.00
_cell_angle_gamma 90.00
loop_
_atom_site_label
_atom_site_type_symbol
_atom_site_fract_x
_atom_site_fract_y
_atom_site_fract_z
Mn1 Mn 0.000 0.000 0.000
Si1 Si 0.000 0.000 0.500
W1 W 0.500 0.500 0.500

***

Least stable: A

***

A:
# MnSiW3 | the Alexandria database | PBE-GGA | relaxed
# V = 87.2 Å³/cell
data_MnSiW3
_chemical_formula_sum 'Mn1 Si1 W3'
_space_group_name_H-M_alt 'P m -3 m'
_space_group_IT_number 221
_space_group_name_Hall '-P 4 2 3'
_cell_length_a 4.435
_cell_length_b 4.435
_cell_length_c 4.435
_cell_angle_alpha 90.00
_cell_angle_beta 90.00
_cell_angle_gamma 90.00
loop_
_atom_site_label
_atom_site_type_symbol
_atom_site_fract_x
_atom_site_fract_y
_atom_site_fract_z
Mn1 Mn 0.000 0.000 0.000
Si1 Si 0.500 0.500 0.500
W1 W 0.000 0.500 0.500

***

B:
# MnSiW3 | the Alexandria database | PBE-GGA | relaxed
# V = 88.2 Å³/cell
data_MnSiW3
_chemical_formula_sum 'Mn1 Si1 W3'
_space_group_name_H-M_alt 'P m -3 m'
_space_group_IT_number 221
_space_group_name_Hall '-P 4 2 3'
_cell_length_a 4.452
_cell_length_b 4.452
_cell_length_c 4.452
_cell_angle_alpha 90.00
_cell_angle_beta 90.00
_cell_angle_gamma 90.00
loop_
_atom_site_label
_atom_site_type_symbol
_atom_site_fract_x
_atom_site_fract_y
_atom_site_fract_z
Mn1 Mn 0.000 0.000 0.000
Si1 Si 0.500 0.500 0.500
W1 W 0.000 0.000 0.500

***

Least stable: A

***

A:
# Mn2Zn2Si | the Alexandria database | PBE-GGA | relaxed
# V = 148.7 Å³/cell
data_Mn2Zn2Si
_chemical_formula_sum 'Mn4 Zn4 Si2'
_space_group_name_H-M_alt 'I 4/m m m'
_space_group_IT_number 139
_space_group_name_Hall '-I 4 2'
_cell_length_a 3.330
_cell_length_b 3.330
_cell_length_c 13.412
_cell_angle_alpha 90.00
_cell_angle_beta 90.00
_cell_angle_gamma 90.00
loop_
_atom_site_label
_atom_site_type_symbol
_atom_site_fract_x
_atom_site_fract_y
_atom_site_fract_z
Mn1 Mn 0.000 0.000 0.089
Zn1 Zn 0.000 0.500 0.250
Si1 Si 0.000 0.000 0.500

***

B:
# Mn2Zn2Si | the Alexandria database | PBE-GGA | relaxed
# V = 137.3 Å³/cell
data_Mn2Zn2Si
_chemical_formula_sum 'Mn4 Zn4 Si2'
_space_group_name_H-M_alt 'P 4/m b m'
_space_group_IT_number 127
_space_group_name_Hall '-P 4 2ab'
_cell_length_a 5.881
_cell_length_b 5.881
_cell_length_c 3.971
_cell_angle_alpha 90.00
_cell_angle_beta 90.00
_cell_angle_gamma 90.00
loop_
_atom_site_label
_atom_site_type_symbol
_atom_site_fract_x
_atom_site_fract_y
_atom_site_fract_z
Mn1 Mn 0.141 0.359 0.000
Zn1 Zn 0.160 0.660 0.500
Si1 Si 0.000 0.000 0.000

***

Least stable: A